Material: La2TbHgTe5
Method: DFT, GGA-PBE
State: relaxed

abc: 4.4575 19.1516 13.6312
angles: 90.00 90.00 90.00
Last column: nearest neighbours and their distance in Å.
Space group Cmc2_1 (No. 36)
Unique sites:
La 0.0000 0.1205 0.0000 [4 per cell]  8 Te 3.31-3.42
La 0.0000 0.1261 0.6214 [4 per cell]  8 Te 3.34-3.47
Tb 0.0000 0.1914 0.3197 [4 per cell]  6 Te 3.13-3.18, 2 Hg 3.35
Hg 0.0000 0.4366 0.7821 [4 per cell]  4 Te 2.82-3.15
Te 0.0000 0.0396 0.4080 [4 per cell]  2 Hg 2.85, 1 Tb 3.15
Te 0.0000 0.2925 0.9791 [4 per cell]  2 Tb 3.13, 3 La 3.31-3.34
Te 0.0000 0.2998 0.6537 [4 per cell]  1 Hg 3.15, 2 Tb 3.18, 3 La 3.35-3.42
Te 0.0000 0.3547 0.3146 [4 per cell]  1 Tb 3.13, 4 La 3.40-3.47
Te 0.0000 0.4972 0.5939 [4 per cell]  1 Hg 2.82

Calculated values
- Formation energy (no corrections): -10.9 eV/f.u.